No. 1
Material: Li2FeCuH6
Method: DFT, PBE
State: relaxed

Unit cell a=4.6304 b=4.6304 c=4.6304 alpha=60.00 beta=60.00 gamma=60.00
Closest atoms and distances in Å follow each position.
Fractional coordinates of all 10 atoms:
H 0.7427 0.2573 0.7427  1 Fe 1.59, 1 Cu 1.68
H 0.7427 0.7427 0.2573  1 Fe 1.59, 1 Cu 1.68
H 0.2573 0.2573 0.7427  1 Fe 1.59, 1 Cu 1.68
H 0.2573 0.7427 0.2573  1 Fe 1.59, 1 Cu 1.68
H 0.7427 0.2573 0.2573  1 Fe 1.59, 1 Cu 1.68
H 0.2573 0.7427 0.7427  1 Fe 1.59, 1 Cu 1.68
Cu 0.0000 0.0000 0.0000  6 H 1.68
Fe 0.5000 0.5000 0.5000  6 H 1.59
Li 0.2500 0.2500 0.2500  12 H 2.32
Li 0.7500 0.7500 0.7500  12 H 2.32

Computed properties:
E_tot: -36.791 eV for the cell shown

=====

No. 2
Material: LiYHo
Method: DFT, PBE
State: relaxed

Unit cell a=5.0348 b=5.0348 c=5.0348 alpha=60.00 beta=60.00 gamma=60.00
Closest atoms and distances in Å follow each position.
Fractional coordinates of all 3 atoms:
Ho 0.5000 0.5000 0.5000  4 Li 3.08
Y 0.0000 0.0000 0.0000  4 Li 3.08
Li 0.2500 0.2500 0.2500  4 Ho 3.08, 4 Y 3.08

Computed properties:
Polymorph energy (0 for the lowest one): 0 meV per atom

=====

No. 3
Material: TaNbNO
Method: DFT, PBE
State: relaxed

Unit cell a=3.1077 b=5.6415 c=5.8358 alpha=90.00 beta=90.00 gamma=90.00
Closest atoms and distances in Å follow each position.
Fractional coordinates of all 8 atoms:
Ta 0.5000 0.9569 0.1036  2 O 2.06-2.14, 2 N 2.08
Ta 0.5000 0.4569 0.8964  2 O 2.06-2.14, 2 N 2.08
N 0.0000 0.4189 0.6611  2 Nb 2.02-2.09, 2 Ta 2.08
N 0.0000 0.9189 0.3389  2 Nb 2.02-2.09, 2 Ta 2.08
O 0.5000 0.8168 0.7782  2 Ta 2.06-2.14, 2 Nb 2.17
O 0.5000 0.3168 0.2218  2 Ta 2.06-2.14, 2 Nb 2.17
Nb 0.0000 0.0614 0.6696  2 N 2.02-2.09, 2 O 2.17
Nb 0.0000 0.5614 0.3304  2 N 2.02-2.09, 2 O 2.17

Computed properties:
Polymorph energy (0 for the lowest one): 0 meV per atom

=====

No. 4
Material: ScNbTc2
Method: DFT, PBE
State: relaxed

Unit cell a=3.2023 b=3.2023 c=6.4524 alpha=90.00 beta=90.00 gamma=90.00
Closest atoms and distances in Å follow each position.
Fractional coordinates of all 4 atoms:
Sc 0.0000 0.0000 0.5000  8 Tc 2.82
Tc 0.5000 0.5000 0.2383  4 Nb 2.74, 4 Sc 2.82
Tc 0.5000 0.5000 0.7617  4 Nb 2.74, 4 Sc 2.82
Nb 0.0000 0.0000 0.0000  8 Tc 2.74

Computed properties:
Polymorph energy (0 for the lowest one): 0 meV per atom
Formation energy: -267 meV per atom

=====

No. 5
Material: PmSi2O4
Method: DFT, PBE
State: relaxed

Unit cell a=6.4276 b=6.4276 c=6.4276 alpha=119.99 beta=90.01 gamma=119.99
Closest atoms and distances in Å follow each position.
Fractional coordinates of all 14 atoms:
O 0.1423 0.2849 0.4272  3 Si 2.13, 1 Pm 2.24
O 0.6077 0.2151 0.8228  3 Si 2.13, 1 Pm 2.24
O 0.6077 0.7849 0.3925  3 Si 2.13, 1 Pm 2.24
O 0.1772 0.7849 0.3923  3 Si 2.13, 1 Pm 2.24
O 0.1425 0.2849 0.8577  3 Si 2.13, 1 Pm 2.24
O 0.5728 0.7151 0.8577  3 Si 2.13, 1 Pm 2.24
O 0.1423 0.7151 0.8575  3 Si 2.13, 1 Pm 2.24
O 0.6075 0.2151 0.3923  3 Si 2.13, 1 Pm 2.24
Si 0.3750 0.7500 0.1250  6 O 2.13
Si 0.3750 0.2500 0.6250  6 O 2.13
Si 0.8750 0.2500 0.6250  6 O 2.13
Si 0.3750 0.7500 0.6250  6 O 2.13
Pm 0.0000 0.0000 0.0000  4 O 2.24
Pm 0.7500 0.5000 0.2500  4 O 2.24

Computed properties:
E_tot: -92.362 eV for the cell shown

=====

No. 6
Material: Cu2Ag3
Method: DFT, PBE
State: relaxed

Unit cell a=7.3301 b=7.3301 c=5.6338 alpha=98.71 beta=98.71 gamma=31.63
Closest atoms and distances in Å follow each position.
Fractional coordinates of all 10 atoms:
Ag 0.4970 0.4970 0.7555  5 Cu 2.74-2.84, 7 Ag 2.74-2.90
Ag 0.2966 0.2966 0.1505  7 Cu 2.75-2.83, 5 Ag 2.81-2.88
Ag 0.1070 0.1070 0.5438  5 Cu 2.71-2.87, 7 Ag 2.84-2.98
Ag 0.5030 0.5030 0.2445  5 Cu 2.74-2.84, 7 Ag 2.74-2.90
Ag 0.8930 0.8930 0.4562  5 Cu 2.71-2.87, 7 Ag 2.84-2.98
Ag 0.7034 0.7034 0.8495  7 Cu 2.75-2.83, 5 Ag 2.81-2.88
Cu 0.6992 0.6992 0.3456  8 Ag 2.71-2.83, 4 Cu 2.83-2.88
Cu 0.0996 0.0996 0.0503  9 Ag 2.74-2.87, 3 Cu 2.78-2.83
Cu 0.9004 0.9004 0.9497  9 Ag 2.74-2.87, 3 Cu 2.78-2.83
Cu 0.3008 0.3008 0.6544  8 Ag 2.71-2.83, 4 Cu 2.83-2.88

Computed properties:
Polymorph energy (0 for the lowest one): 57 meV per atom
Formation energy: 89 meV per atom

=====

No. 7
Material: BaCd2InGa
Method: DFT, PBE
State: relaxed

Unit cell a=6.8694 b=6.8694 c=6.8694 alpha=138.96 beta=138.96 gamma=59.43
Closest atoms and distances in Å follow each position.
Fractional coordinates of all 5 atoms:
In 0.6109 0.6109 0.0000  1 Ga 2.74, 4 Cd 2.97
Cd 0.2561 0.7561 0.5000  2 Ga 2.83, 2 In 2.97
Cd 0.7561 0.2561 0.5000  2 Ga 2.83, 2 In 2.97
Ba 0.9957 0.9957 0.0000  4 Ga 3.67, 4 In 3.67, 8 Cd 3.74-3.93
Ga 0.3813 0.3813 0.0000  1 In 2.74, 4 Cd 2.83

Computed properties:
E_tot: -11.248 eV for the cell shown

=====

No. 8
Material: TmScAlCo2
Method: DFT, PBE
State: relaxed

Unit cell a=5.1798 b=5.1798 c=5.1798 alpha=135.09 beta=117.91 gamma=79.84
Closest atoms and distances in Å follow each position.
Fractional coordinates of all 5 atoms:
Sc 0.7051 0.2051 0.5000  6 Co 2.78-2.82, 2 Al 3.05
Co 0.2773 0.5009 0.7764  1 Co 2.39, 2 Al 2.47
Co 0.7244 0.5009 0.2236  1 Co 2.39, 2 Al 2.47
Al 0.9972 0.9972 0.0000  4 Co 2.47
Tm 0.2960 0.7960 0.5000  6 Co 2.77-2.83, 2 Al 3.09

Computed properties:
E_tot: -31.024 eV for the cell shown

=====

No. 9
Material: PrYGa5
Method: DFT, PBE
State: relaxed

Unit cell a=4.1947 b=4.1947 c=8.9011 alpha=90.00 beta=90.00 gamma=90.00
Closest atoms and distances in Å follow each position.
Fractional coordinates of all 7 atoms:
Ga 0.5000 0.5000 0.0000  4 Y 2.97, 8 Ga 3.02
Ga 0.0000 0.5000 0.2446  6 Ga 2.97-3.02, 2 Y 3.02, 2 Pr 3.09
Ga 0.0000 0.5000 0.7554  6 Ga 2.97-3.02, 2 Y 3.02, 2 Pr 3.09
Ga 0.5000 0.0000 0.7554  6 Ga 2.97-3.02, 2 Y 3.02, 2 Pr 3.09
Ga 0.5000 0.0000 0.2446  6 Ga 2.97-3.02, 2 Y 3.02, 2 Pr 3.09
Pr 0.0000 0.0000 0.5000  8 Ga 3.09
Y 0.0000 0.0000 0.0000  12 Ga 2.97-3.02

Computed properties:
E_tot: -29.531 eV for the cell shown

=====

No. 10
Material: GaTcNiAg
Method: DFT, PBE
State: relaxed

Unit cell a=4.3464 b=4.3464 c=4.3464 alpha=60.00 beta=60.00 gamma=60.00
Closest atoms and distances in Å follow each position.
Fractional coordinates of all 4 atoms:
Tc 0.2500 0.2500 0.2500  4 Ag 2.66, 4 Ga 2.66
Ga 0.0000 0.0000 0.0000  4 Ni 2.66, 4 Tc 2.66
Ag 0.5000 0.5000 0.5000  4 Ni 2.66, 4 Tc 2.66
Ni 0.7500 0.7500 0.7500  4 Ag 2.66, 4 Ga 2.66

Computed properties:
E_tot: -20.757 eV for the cell shown

=====

No. 11
Material: SmIn2S4
Method: DFT, PBE
State: relaxed

Unit cell a=5.9229 b=5.9229 c=10.1163 alpha=90.00 beta=90.00 gamma=110.00
Closest atoms and distances in Å follow each position.
Fractional coordinates of all 14 atoms:
S 0.6383 0.7569 0.0000  2 In 2.53-2.76
S 0.0000 0.5000 0.1962  2 In 2.60
S 0.3617 0.2431 0.0000  2 In 2.53-2.76
S 0.2431 0.3617 0.5000  2 In 2.53-2.76
S 0.5000 0.0000 0.3038  2 In 2.60
S 0.5000 0.0000 0.6962  2 In 2.60
S 0.0000 0.5000 0.8038  2 In 2.60
S 0.7569 0.6383 0.5000  2 In 2.53-2.76
Sm 0.5000 0.5000 0.2500  8 S 2.92-3.01
Sm 0.5000 0.5000 0.7500  8 S 2.92-3.01
In 0.1842 0.7882 0.0000  4 S 2.53-2.76
In 0.8158 0.2118 0.0000  4 S 2.53-2.76
In 0.7882 0.1842 0.5000  4 S 2.53-2.76
In 0.2118 0.8158 0.5000  4 S 2.53-2.76

Computed properties:
E_tot: -66.546 eV for the cell shown

=====

No. 12
Material: GaPd124
Method: DFT, PBE
State: relaxed

Unit cell a=13.9726 b=13.9726 c=13.9726 alpha=60.00 beta=60.00 gamma=60.00
Closest atoms and distances in Å follow each position.
Fractional coordinates of all 125 atoms:
Pd 0.8000 0.4001 0.5999  12 Pd 2.79-2.80
Pd 0.4003 0.1999 0.1999  12 Pd 2.79-2.80
Pd 0.6000 0.0000 0.6000  12 Pd 2.79-2.80
Pd 0.1996 0.1996 0.6009  12 Pd 2.79-2.80
Pd 0.4000 0.4000 0.6000  12 Pd 2.79-2.80
Pd 0.4000 0.0000 0.4000  12 Pd 2.79-2.80
Pd 0.6001 0.6001 0.1998  12 Pd 2.79-2.80
Pd 0.2004 0.7996 0.2004  12 Pd 2.79-2.80
Pd 0.6000 0.8001 0.6000  12 Pd 2.79-2.80
Pd 0.0002 0.3991 0.8004  12 Pd 2.79-2.80
Pd 0.8000 0.4001 0.2000  12 Pd 2.79-2.80
Pd 0.8024 0.0000 0.1976  11 Pd 2.76-2.82, 1 Ga 2.76
Pd 0.1976 0.8024 0.0000  11 Pd 2.76-2.82, 1 Ga 2.76
Pd 0.0000 0.1999 0.4000  12 Pd 2.79-2.80
Pd 0.6000 0.6000 0.4000  12 Pd 2.79-2.80
Pd 0.9998 0.6009 0.1996  12 Pd 2.79-2.80
Pd 0.5999 0.2000 0.4001  12 Pd 2.79-2.80
Pd 0.4000 0.1999 0.4000  12 Pd 2.79-2.80
Pd 0.2000 0.8000 0.4001  12 Pd 2.79-2.80
Pd 0.4000 0.4000 0.0000  12 Pd 2.79-2.80
Pd 0.6004 0.3996 0.0000  12 Pd 2.79-2.82
Pd 0.6009 0.9998 0.1996  12 Pd 2.79-2.80
Pd 0.3996 0.0000 0.6004  12 Pd 2.79-2.82
Pd 0.1996 0.6009 0.9998  12 Pd 2.79-2.80
Pd 0.1999 0.1999 0.4003  12 Pd 2.79-2.80
Pd 0.8004 0.3991 0.0002  12 Pd 2.79-2.80
Pd 0.4000 0.4000 0.1999  12 Pd 2.79-2.80
Pd 0.0000 0.1976 0.0000  11 Pd 2.76-2.82, 1 Ga 2.76
Pd 0.4001 0.2000 0.5999  12 Pd 2.79-2.80
Pd 0.0000 0.0000 0.3996  12 Pd 2.79-2.82
Pd 0.1998 0.6001 0.6001  12 Pd 2.79-2.80
Pd 0.1999 0.4000 0.4000  12 Pd 2.79-2.80
Pd 0.0000 0.1976 0.8024  11 Pd 2.76-2.82, 1 Ga 2.76
Pd 0.3999 0.3999 0.8002  12 Pd 2.79-2.80
Pd 0.0000 0.0000 0.8024  1 Ga 2.76, 11 Pd 2.76-2.82
Pd 0.0000 0.4000 0.4000  12 Pd 2.79-2.80
Pd 0.8000 0.2000 0.4001  12 Pd 2.79-2.80
Pd 0.6001 0.1998 0.6001  12 Pd 2.79-2.80
Pd 0.8001 0.6000 0.0000  12 Pd 2.79-2.80
Pd 0.4000 0.0000 0.1999  12 Pd 2.79-2.80
Pd 0.6004 0.0000 0.3996  12 Pd 2.79-2.82
Pd 0.5999 0.4001 0.8000  12 Pd 2.79-2.80
Pd 0.5999 0.8000 0.2000  12 Pd 2.79-2.80
Pd 0.0000 0.6000 0.6000  12 Pd 2.79-2.80
Pd 0.8004 0.8004 0.0002  12 Pd 2.79-2.80
Pd 0.2000 0.8000 0.5999  12 Pd 2.79-2.80
Pd 0.8000 0.2000 0.5999  12 Pd 2.79-2.80
Pd 0.2000 0.4001 0.5999  12 Pd 2.79-2.80
Pd 0.6009 0.1996 0.1996  12 Pd 2.79-2.80
Pd 0.1996 0.6009 0.1996  12 Pd 2.79-2.80
Pd 0.4001 0.8000 0.5999  12 Pd 2.79-2.80
Pd 0.6000 0.4000 0.6000  12 Pd 2.79-2.80
Pd 0.3999 0.8002 0.3999  12 Pd 2.79-2.80
Pd 0.0000 0.8001 0.6000  12 Pd 2.79-2.80
Pd 0.8004 0.8004 0.3991  12 Pd 2.79-2.80
Pd 0.3999 0.3999 0.3999  12 Pd 2.79-2.80
Pd 0.0000 0.3996 0.0000  12 Pd 2.79-2.82
Pd 0.4000 0.6000 0.4000  12 Pd 2.79-2.80
Pd 0.3996 0.6004 0.0000  12 Pd 2.79-2.82
Pd 0.6000 0.4000 0.4000  12 Pd 2.79-2.80
Pd 0.0000 0.6000 0.8001  12 Pd 2.79-2.80
Pd 0.1999 0.0000 0.4000  12 Pd 2.79-2.80
Pd 0.8024 0.1976 0.0000  11 Pd 2.76-2.82, 1 Ga 2.76
Pd 0.8000 0.5999 0.2000  12 Pd 2.79-2.80
Pd 0.4001 0.5999 0.2000  12 Pd 2.79-2.80
Pd 0.1999 0.4003 0.1999  12 Pd 2.79-2.80
Pd 0.4001 0.8000 0.2000  12 Pd 2.79-2.80
Pd 0.6004 0.0000 0.0000  12 Pd 2.79-2.82
Pd 0.4001 0.5999 0.8000  12 Pd 2.79-2.80
Pd 0.1999 0.1999 0.1999  12 Pd 2.79-2.80
Pd 0.2000 0.4001 0.8000  12 Pd 2.79-2.80
Pd 0.8002 0.3999 0.3999  12 Pd 2.79-2.80
Pd 0.6000 0.0000 0.8001  12 Pd 2.79-2.80
Pd 0.2004 0.7996 0.7996  12 Pd 2.79-2.80
Pd 0.8001 0.5997 0.8001  12 Pd 2.79-2.80
Pd 0.8004 0.0002 0.3991  12 Pd 2.79-2.80
Pd 0.5999 0.4001 0.2000  12 Pd 2.79-2.80
Pd 0.5999 0.8000 0.4001  12 Pd 2.79-2.80
Pd 0.0000 0.8024 0.1976  11 Pd 2.76-2.82, 1 Ga 2.76
Pd 0.7996 0.7996 0.2004  12 Pd 2.79-2.80
Pd 0.0002 0.8004 0.3991  12 Pd 2.79-2.80
Pd 0.6001 0.6001 0.6001  12 Pd 2.79-2.80
Pd 0.0000 0.8024 0.0000  11 Pd 2.76-2.82, 1 Ga 2.76
Pd 0.8024 0.0000 0.0000  11 Pd 2.76-2.82, 1 Ga 2.76
Pd 0.5999 0.2000 0.8000  12 Pd 2.79-2.80
Pd 0.6009 0.1996 0.9998  12 Pd 2.79-2.80
Pd 0.2000 0.5999 0.8000  12 Pd 2.79-2.80
Pd 0.7996 0.2004 0.2004  12 Pd 2.79-2.80
Pd 0.0000 0.0000 0.1976  1 Ga 2.76, 11 Pd 2.76-2.82
Pd 0.8001 0.0000 0.6000  12 Pd 2.79-2.80
Pd 0.4000 0.6000 0.6000  12 Pd 2.79-2.80
Pd 0.8000 0.5999 0.4001  12 Pd 2.79-2.80
Pd 0.0000 0.4000 0.1999  12 Pd 2.79-2.80
Pd 0.5997 0.8001 0.8001  12 Pd 2.79-2.80
Pd 0.2004 0.2004 0.7996  12 Pd 2.79-2.80
Pd 0.3991 0.8004 0.0002  12 Pd 2.79-2.80
Pd 0.1996 0.9998 0.6009  12 Pd 2.79-2.80
Pd 0.1976 0.0000 0.0000  11 Pd 2.76-2.82, 1 Ga 2.76
Pd 0.3991 0.0002 0.8004  12 Pd 2.79-2.80
Pd 0.1976 0.0000 0.8024  11 Pd 2.76-2.82, 1 Ga 2.76
Pd 0.1999 0.4000 0.0000  12 Pd 2.79-2.80
Pd 0.4000 0.1999 0.0000  12 Pd 2.79-2.80
Pd 0.3991 0.8004 0.8004  12 Pd 2.79-2.80
Pd 0.8004 0.3991 0.8004  12 Pd 2.79-2.80
Pd 0.0002 0.8004 0.8004  12 Pd 2.79-2.80
Pd 0.0000 0.3996 0.6004  12 Pd 2.79-2.82
Pd 0.8004 0.0002 0.8004  12 Pd 2.79-2.80
Pd 0.7996 0.2004 0.7996  12 Pd 2.79-2.80
Pd 0.6000 0.6000 0.0000  12 Pd 2.79-2.80
Pd 0.4001 0.2000 0.8000  12 Pd 2.79-2.80
Pd 0.1996 0.1996 0.9998  12 Pd 2.79-2.80
Pd 0.2000 0.5999 0.4001  12 Pd 2.79-2.80
Pd 0.8001 0.8001 0.8001  12 Pd 2.79-2.80
Pd 0.3996 0.0000 0.0000  12 Pd 2.79-2.82
Pd 0.8001 0.8001 0.5997  12 Pd 2.79-2.80
Pd 0.1996 0.9998 0.1996  12 Pd 2.79-2.80
Pd 0.0000 0.6004 0.0000  12 Pd 2.79-2.82
Pd 0.8001 0.6000 0.6000  12 Pd 2.79-2.80
Pd 0.9998 0.1996 0.6009  12 Pd 2.79-2.80
Pd 0.9998 0.1996 0.1996  12 Pd 2.79-2.80
Pd 0.6000 0.6000 0.8001  12 Pd 2.79-2.80
Pd 0.0000 0.0000 0.6004  12 Pd 2.79-2.82
Pd 0.0000 0.6004 0.3996  12 Pd 2.79-2.82
Pd 0.6000 0.8001 0.0000  12 Pd 2.79-2.80
Ga 0.0000 0.0000 0.0000  12 Pd 2.76

Computed properties:
E_tot: -647.338 eV for the cell shown

=====

In order of appearance, volume = 70 90 102 66 188 157 138 84 157 58 333 1929 Å³/cell.
In order of appearance, calculated density = 3.295 4.798 9.863 8.379 4.689 9.549 6.562 7.094 6.133 9.561 5.062 11.420 g/cm³.